[1]
Below is crystalline Pr2DyY3 at its relaxed geometry, with properties calculated at the PBE level.

abc: 14.974 9.837 6.075
angles: 90.00 113.69 90.00
Space group C2/c (No. 15)
One atom of each set of equivalent atoms:
Pr 0.134 0.217 0.386 (multiplicity 8)
Dy 0.000 0.500 0.000 (multiplicity 4)
Y 0.000 0.110 0.750 (multiplicity 4)
Y 0.231 0.416 0.975 (multiplicity 8)

The crystal system is monoclinic. The calculation puts the energy above the most stable polymorph in this dataset at 0.00 kJ per mole of atoms. The calculation puts the density at 5763 kg/m3. Its magnetic moment is 0.0 μB/cell.



[2]
Below is crystalline Pr6Dy5Y at its relaxed geometry, with properties calculated at the PBE level.

abc: 5.175 10.156 15.458
angles: 90.00 90.00 90.00
Space group Immm (No. 71)
One atom of each set of equivalent atoms:
Pr 0.000 0.249 0.000 (multiplicity 4)
Pr 0.000 0.250 0.333 (multiplicity 8)
Dy 0.000 0.000 0.167 (multiplicity 4)
Dy 0.000 0.500 0.167 (multiplicity 4)
Dy 0.000 0.500 0.500 (multiplicity 2)
Y 0.000 0.000 0.500 (multiplicity 2)

The crystal system is orthorhombic. The calculation puts the energy above the most stable polymorph in this dataset at 0.53 kJ per mole of atoms. The calculation puts the density at 7141 kg/m3. Its magnetic moment is 0.0 μB/cell.



[3]
Below is crystalline Pr6Dy3Y2 at its relaxed geometry, with properties calculated at the PBE level.

abc: 6.310 8.119 8.159
angles: 107.36 97.37 104.92
Space group P-1 (No. 2)
One atom of each set of equivalent atoms:
Pr 0.047 0.182 0.409 (multiplicity 2)
Pr 0.136 0.546 0.230 (multiplicity 2)
Pr 0.321 0.272 0.865 (multiplicity 2)
Dy 0.410 0.639 0.682 (multiplicity 2)
Dy 0.500 0.000 0.500 (multiplicity 1)
Y 0.229 0.911 0.046 (multiplicity 2)

The crystal system is triclinic. The calculation puts the energy above the most stable polymorph in this dataset at 0.00 kJ per mole of atoms. The calculation puts the density at 6675 kg/m3. Its magnetic moment is 0.0 μB/cell.



[4]
Below is crystalline PrDy2Y6 at its relaxed geometry, with properties calculated at the PBE level.

abc: 7.3961 7.3961 19.1942
angles: 90.00 90.00 120.00
Space group R3m (No. 160, hexagonal axes)
One atom of each set of equivalent atoms:
Pr 0.0000 0.0000 0.0000 (multiplicity 3)
Dy 0.0000 0.0000 0.5602 (multiplicity 3)
Dy 0.0000 0.0000 0.7358 (multiplicity 3)
Y 0.1728 0.3456 0.8813 (multiplicity 9)
Y 0.1882 0.3765 0.0793 (multiplicity 9)

The crystal system is trigonal. The calculation puts the energy above the most stable polymorph in this dataset at 27.01 kJ per mole of atoms. The calculation puts the density at 5475 kg/m3. Its magnetic moment is 0.0 μB/cell.



[5]
Below is crystalline PrDy4Y at its relaxed geometry, with properties calculated at the PBE level.

abc: 5.045 6.199 7.154
angles: 106.74 90.00 113.94
Space group P-1 (No. 2)
One atom of each set of equivalent atoms:
Pr 0.000 0.000 0.000 (multiplicity 1)
Dy 0.332 0.663 0.665 (multiplicity 2)
Dy 0.333 0.666 0.167 (multiplicity 2)
Y 0.000 0.000 0.500 (multiplicity 1)

The crystal system is triclinic. The calculation puts the energy above the most stable polymorph in this dataset at 0.00 kJ per mole of atoms. The calculation puts the density at 7529 kg/m3. Its magnetic moment is 0.0 μB/cell.



[6]
Below is crystalline PrDy3Y2 at its relaxed geometry, with properties calculated at the PBE level.

abc: 9.494 13.231 6.378
angles: 90.00 90.00 90.00
Space group Cmc2_1 (No. 36)
One atom of each set of equivalent atoms:
Pr 0.000 0.176 0.000 (multiplicity 4)
Dy 0.000 0.082 0.527 (multiplicity 4)
Dy 0.182 0.305 0.324 (multiplicity 8)
Y 0.182 0.441 0.779 (multiplicity 8)

The crystal system is orthorhombic. The calculation puts the energy above the most stable polymorph in this dataset at 19.23 kJ per mole of atoms. The calculation puts the density at 6685 kg/m3. Its magnetic moment is 0.0 μB/cell.



[7]
Below is crystalline PrDy4Y7 at its relaxed geometry, with properties calculated at the PBE level.

abc: 6.543 6.850 9.090
angles: 85.88 76.64 82.00
Space group P-1 (No. 2)
One atom of each set of equivalent atoms:
Pr 0.000 0.000 0.000 (multiplicity 1)
Dy 0.162 0.614 0.312 (multiplicity 2)
Dy 0.360 0.191 0.713 (multiplicity 2)
Y 0.000 0.500 0.000 (multiplicity 1)
Y 0.190 0.106 0.387 (multiplicity 2)
Y 0.319 0.695 0.640 (multiplicity 2)
Y 0.484 0.252 0.049 (multiplicity 2)

The crystal system is triclinic. The calculation puts the energy above the most stable polymorph in this dataset at 0.00 kJ per mole of atoms. The calculation puts the density at 5983 kg/m3. Its magnetic moment is 0.0 μB/cell.



[8]
Below is crystalline PrDy7Y12 at its relaxed geometry, with properties calculated at the PBE level.

abc: 11.309 11.309 11.309
angles: 90.00 90.00 90.00
Space group Im-3 (No. 204)
One atom of each set of equivalent atoms:
Pr 0.000 0.000 0.000 (multiplicity 2)
Dy 0.000 0.000 0.500 (multiplicity 6)
Dy 0.250 0.250 0.250 (multiplicity 8)
Y 0.000 0.253 0.254 (multiplicity 24)

The crystal system is cubic. The calculation puts the energy above the most stable polymorph in this dataset at 38.46 kJ per mole of atoms. The calculation puts the density at 5385 kg/m3. Its magnetic moment is 0.0 μB/cell.



[9]
Below is crystalline Pr7Dy2Y at its relaxed geometry, with properties calculated at the PBE level.

abc: 8.922 16.636 5.709
angles: 90.00 90.00 90.00
Space group Cmmm (No. 65)
One atom of each set of equivalent atoms:
Pr 0.000 0.000 0.000 (multiplicity 2)
Pr 0.000 0.279 0.500 (multiplicity 4)
Pr 0.180 0.387 0.000 (multiplicity 8)
Dy 0.000 0.205 0.000 (multiplicity 4)
Y 0.000 0.500 0.500 (multiplicity 2)

The crystal system is orthorhombic. The calculation puts the energy above the most stable polymorph in this dataset at 0.00 kJ per mole of atoms. The calculation puts the density at 5487 kg/m3. Its magnetic moment is 0.0 μB/cell.



[10]
Below is crystalline Pr6DyY at its relaxed geometry, with properties calculated at the PBE level.

abc: 7.408 10.344 14.712
angles: 90.00 90.00 90.00
Space group Fmmm (No. 69)
One atom of each set of equivalent atoms:
Pr 0.000 0.000 0.250 (multiplicity 8)
Pr 0.250 0.250 0.123 (multiplicity 16)
Dy 0.000 0.000 0.000 (multiplicity 4)
Y 0.000 0.000 0.500 (multiplicity 4)

The crystal system is orthorhombic. The calculation puts the energy above the most stable polymorph in this dataset at 0.24 kJ per mole of atoms. The calculation puts the density at 6462 kg/m3. Its magnetic moment is 0.0 μB/cell.



[11]
Below is crystalline Pr4Dy5Y4 at its relaxed geometry, with properties calculated at the PBE level.

abc: 13.018 13.018 5.084
angles: 90.00 90.00 90.00
Space group I4/m (No. 87)
One atom of each set of equivalent atoms:
Pr 0.078 0.618 0.000 (multiplicity 8)
Dy 0.000 0.000 0.000 (multiplicity 2)
Dy 0.039 0.811 0.500 (multiplicity 8)
Y 0.153 0.229 0.000 (multiplicity 8)

The crystal system is tetragonal. Its total energy is -67.72 eV per formula unit. The calculation puts the density at 6675 kg/m3. Its magnetic moment is 0.0 μB/cell.



[12]
Below is crystalline PrDyY at its relaxed geometry, with properties calculated at the PBE level.

abc: 3.615 3.615 15.309
angles: 90.00 90.00 90.00
Space group I4mm (No. 107)
One atom of each set of equivalent atoms:
Pr 0.000 0.000 0.000 (multiplicity 2)
Dy 0.000 0.000 0.333 (multiplicity 2)
Y 0.000 0.000 0.670 (multiplicity 2)

The crystal system is tetragonal. The calculation puts the energy above the most stable polymorph in this dataset at 0.43 kJ per mole of atoms. The calculation puts the density at 6514 kg/m3. Its magnetic moment is 0.0 μB/cell.